Material: Zr3VS
Method: DFT, GGA-PBE
State: optimized geometry

The structure in CIF format:
```
data_Zr3VS
_chemical_formula_sum 'Zr3 V1 S1'
_cell_length_a 4.872
_cell_length_b 4.872
_cell_length_c 4.872
_cell_angle_alpha 90.00
_cell_angle_beta 90.00
_cell_angle_gamma 90.00
_symmetry_space_group_name_H-M 'P 1'
_symmetry_Int_Tables_number 1
loop_
_symmetry_equiv_pos_as_xyz
'x,y,z'
loop_
_atom_site_label
_atom_site_fract_x
_atom_site_fract_y
_atom_site_fract_z
_atom_site_occupancy
S1 0.500 0.500 0.500 1
Zr1 0.000 0.500 0.000 1
Zr2 0.000 0.000 0.500 1
Zr3 0.500 0.000 0.000 1
V1 0.000 0.000 0.000 1
```

raw formation energy = 0.63 eV/atom
total magnetization = 0.18 μB/atom
SG = Pm-3m

Material: ZrV3S6
Method: DFT, GGA-PBE
State: optimized geometry

The structure in CIF format:
```
data_ZrV3S6
_chemical_formula_sum 'Zr2 V6 S12'
_cell_length_a 3.437
_cell_length_b 9.966
_cell_length_c 10.176
_cell_angle_alpha 110.76
_cell_angle_beta 90.00
_cell_angle_gamma 90.00
_symmetry_space_group_name_H-M 'P 1'
_symmetry_Int_Tables_number 1
loop_
_symmetry_equiv_pos_as_xyz
'x,y,z'
loop_
_atom_site_label
_atom_site_fract_x
_atom_site_fract_y
_atom_site_fract_z
_atom_site_occupancy
Zr1 0.750 0.063 0.704 1
Zr2 0.250 0.937 0.296 1
V1 0.750 0.459 0.880 1
V2 0.250 0.541 0.120 1
V3 0.750 0.675 0.507 1
V4 0.250 0.325 0.493 1
V5 0.750 0.123 0.063 1
V6 0.250 0.877 0.937 1
S1 0.750 0.484 0.619 1
S2 0.250 0.516 0.381 1
S3 0.750 0.910 0.099 1
S4 0.250 0.090 0.901 1
S5 0.750 0.374 0.066 1
S6 0.250 0.626 0.934 1
S7 0.750 0.717 0.275 1
S8 0.250 0.283 0.725 1
S9 0.750 0.117 0.468 1
S10 0.250 0.883 0.532 1
S11 0.750 0.814 0.755 1
S12 0.250 0.186 0.245 1
```

raw formation energy = -0.99 eV/atom
total magnetization = 0.16 μB/atom
SG = P2_1/m

Material: Zr2VS5
Method: DFT, GGA-PBE
State: optimized geometry

The structure in CIF format:
```
data_Zr2VS5
_chemical_formula_sum 'Zr4 V2 S10'
_cell_length_a 5.042
_cell_length_b 6.441
_cell_length_c 12.100
_cell_angle_alpha 90.00
_cell_angle_beta 90.00
_cell_angle_gamma 113.04
_symmetry_space_group_name_H-M 'P 1'
_symmetry_Int_Tables_number 1
loop_
_symmetry_equiv_pos_as_xyz
'x,y,z'
loop_
_atom_site_label
_atom_site_fract_x
_atom_site_fract_y
_atom_site_fract_z
_atom_site_occupancy
Zr1 0.847 0.695 0.446 1
Zr2 0.847 0.695 0.054 1
Zr3 0.153 0.305 0.554 1
Zr4 0.153 0.305 0.946 1
V1 0.801 0.601 0.750 1
V2 0.199 0.399 0.250 1
S1 0.953 0.905 0.876 1
S2 0.953 0.905 0.624 1
S3 0.329 0.658 0.417 1
S4 0.329 0.658 0.083 1
S5 0.743 0.487 0.250 1
S6 0.257 0.513 0.750 1
S7 0.671 0.342 0.583 1
S8 0.671 0.342 0.917 1
S9 0.047 0.095 0.124 1
S10 0.047 0.095 0.376 1
```

raw formation energy = -1.23 eV/atom
total magnetization = 0.30 μB/atom
SG = Cmcm

Material: Zr3VS
Method: DFT, GGA-PBE
State: optimized geometry

The structure in CIF format:
```
data_Zr3VS
_chemical_formula_sum 'Zr3 V1 S1'
_cell_length_a 4.815
_cell_length_b 4.815
_cell_length_c 4.815
_cell_angle_alpha 90.00
_cell_angle_beta 90.00
_cell_angle_gamma 90.00
_symmetry_space_group_name_H-M 'P 1'
_symmetry_Int_Tables_number 1
loop_
_symmetry_equiv_pos_as_xyz
'x,y,z'
loop_
_atom_site_label
_atom_site_fract_x
_atom_site_fract_y
_atom_site_fract_z
_atom_site_occupancy
S1 0.000 0.000 0.000 1
Zr1 0.000 0.500 0.000 1
Zr2 0.000 0.000 0.500 1
Zr3 0.500 0.000 0.000 1
V1 0.500 0.500 0.500 1
```

raw formation energy = -0.17 eV/atom
total magnetization = 0.54 μB/atom
SG = Pm-3m

Material: ZrV2S5
Method: DFT, GGA-PBE
State: optimized geometry

The structure in CIF format:
```
data_ZrV2S5
_chemical_formula_sum 'Zr1 V2 S5'
_cell_length_a 4.694
_cell_length_b 6.953
_cell_length_c 6.621
_cell_angle_alpha 83.13
_cell_angle_beta 69.24
_cell_angle_gamma 70.27
_symmetry_space_group_name_H-M 'P 1'
_symmetry_Int_Tables_number 1
loop_
_symmetry_equiv_pos_as_xyz
'x,y,z'
loop_
_atom_site_label
_atom_site_fract_x
_atom_site_fract_y
_atom_site_fract_z
_atom_site_occupancy
Zr1 0.500 0.500 0.500 1
V1 0.808 0.500 0.885 1
V2 0.192 0.500 0.115 1
S1 0.214 0.736 0.837 1
S2 0.550 0.736 0.163 1
S3 0.000 0.500 0.500 1
S4 0.786 0.264 0.163 1
S5 0.450 0.264 0.837 1
```

raw formation energy = -0.74 eV/atom
total magnetization = 0.00 μB/atom
SG = Fmmm

Material: Zr2VS4
Method: DFT, GGA-PBE
State: optimized geometry

The structure in CIF format:
```
data_Zr2VS4
_chemical_formula_sum 'Zr2 V1 S4'
_cell_length_a 3.509
_cell_length_b 6.217
_cell_length_c 7.010
_cell_angle_alpha 116.14
_cell_angle_beta 104.50
_cell_angle_gamma 90.00
_symmetry_space_group_name_H-M 'P 1'
_symmetry_Int_Tables_number 1
loop_
_symmetry_equiv_pos_as_xyz
'x,y,z'
loop_
_atom_site_label
_atom_site_fract_x
_atom_site_fract_y
_atom_site_fract_z
_atom_site_occupancy
Zr1 0.744 0.754 0.487 1
Zr2 0.256 0.246 0.513 1
V1 0.000 0.000 0.000 1
S1 0.886 0.207 0.771 1
S2 0.114 0.793 0.229 1
S3 0.618 0.280 0.236 1
S4 0.382 0.720 0.764 1
```

raw formation energy = -1.38 eV/atom
total magnetization = 0.27 μB/atom
SG = C2/m

Material: ZrV3S
Method: DFT, GGA-PBE
State: optimized geometry

The structure in CIF format:
```
data_ZrV3S
_chemical_formula_sum 'Zr1 V3 S1'
_cell_length_a 4.680
_cell_length_b 4.680
_cell_length_c 4.680
_cell_angle_alpha 90.00
_cell_angle_beta 90.00
_cell_angle_gamma 90.00
_symmetry_space_group_name_H-M 'P 1'
_symmetry_Int_Tables_number 1
loop_
_symmetry_equiv_pos_as_xyz
'x,y,z'
loop_
_atom_site_label
_atom_site_fract_x
_atom_site_fract_y
_atom_site_fract_z
_atom_site_occupancy
S1 0.500 0.500 0.500 1
Zr1 0.000 0.000 0.000 1
V1 0.000 0.500 0.000 1
V2 0.000 0.000 0.500 1
V3 0.500 0.000 0.000 1
```

raw formation energy = 1.83 eV/atom
total magnetization = 0.26 μB/atom
SG = Pm-3m

Material: ZrV2S4
Method: DFT, GGA-PBE
State: optimized geometry

The structure in CIF format:
```
data_ZrV2S4
_chemical_formula_sum 'Zr1 V2 S4'
_cell_length_a 4.999
_cell_length_b 4.999
_cell_length_c 6.965
_cell_angle_alpha 68.97
_cell_angle_beta 68.97
_cell_angle_gamma 90.00
_symmetry_space_group_name_H-M 'P 1'
_symmetry_Int_Tables_number 1
loop_
_symmetry_equiv_pos_as_xyz
'x,y,z'
loop_
_atom_site_label
_atom_site_fract_x
_atom_site_fract_y
_atom_site_fract_z
_atom_site_occupancy
S1 0.209 0.209 0.581 1
S2 0.791 0.791 0.419 1
S3 0.000 0.500 0.000 1
S4 0.500 0.000 0.000 1
Zr1 0.000 0.000 0.000 1
V1 0.393 0.393 0.214 1
V2 0.607 0.607 0.786 1
```

raw formation energy = -0.45 eV/atom
total magnetization = 0.79 μB/atom
SG = I4/mmm

Material: ZrV6S8
Method: DFT, GGA-PBE
State: optimized geometry

The structure in CIF format:
```
data_ZrV6S8
_chemical_formula_sum 'Zr1 V6 S8'
_cell_length_a 6.205
_cell_length_b 6.205
_cell_length_c 6.205
_cell_angle_alpha 88.13
_cell_angle_beta 88.13
_cell_angle_gamma 88.13
_symmetry_space_group_name_H-M 'P 1'
_symmetry_Int_Tables_number 1
loop_
_symmetry_equiv_pos_as_xyz
'x,y,z'
loop_
_atom_site_label
_atom_site_fract_x
_atom_site_fract_y
_atom_site_fract_z
_atom_site_occupancy
Zr1 0.000 0.000 0.000 1
V1 0.588 0.444 0.795 1
V2 0.444 0.795 0.588 1
V3 0.795 0.588 0.444 1
V4 0.412 0.556 0.205 1
V5 0.556 0.205 0.412 1
V6 0.205 0.412 0.556 1
S1 0.767 0.767 0.767 1
S2 0.233 0.233 0.233 1
S3 0.615 0.869 0.242 1
S4 0.869 0.242 0.615 1
S5 0.242 0.615 0.869 1
S6 0.385 0.131 0.758 1
S7 0.131 0.758 0.385 1
S8 0.758 0.385 0.131 1
```

raw formation energy = -0.94 eV/atom
total magnetization = 0.00 μB/atom
SG = R-3

Material: Zr2VS
Method: DFT, GGA-PBE
State: optimized geometry

The structure in CIF format:
```
data_Zr2VS
_chemical_formula_sum 'Zr2 V1 S1'
_cell_length_a 3.352
_cell_length_b 3.352
_cell_length_c 8.050
_cell_angle_alpha 77.98
_cell_angle_beta 77.98
_cell_angle_gamma 60.00
_symmetry_space_group_name_H-M 'P 1'
_symmetry_Int_Tables_number 1
loop_
_symmetry_equiv_pos_as_xyz
'x,y,z'
loop_
_atom_site_label
_atom_site_fract_x
_atom_site_fract_y
_atom_site_fract_z
_atom_site_occupancy
S1 0.000 0.000 0.000 1
Zr1 0.743 0.743 0.770 1
Zr2 0.257 0.257 0.230 1
V1 0.500 0.500 0.500 1
```

raw formation energy = -0.50 eV/atom
total magnetization = 0.29 μB/atom
SG = R-3m

Material: ZrV3S
Method: DFT, GGA-PBE
State: optimized geometry

The structure in CIF format:
```
data_ZrV3S
_chemical_formula_sum 'Zr1 V3 S1'
_cell_length_a 4.342
_cell_length_b 4.342
_cell_length_c 4.342
_cell_angle_alpha 90.00
_cell_angle_beta 90.00
_cell_angle_gamma 90.00
_symmetry_space_group_name_H-M 'P 1'
_symmetry_Int_Tables_number 1
loop_
_symmetry_equiv_pos_as_xyz
'x,y,z'
loop_
_atom_site_label
_atom_site_fract_x
_atom_site_fract_y
_atom_site_fract_z
_atom_site_occupancy
S1 0.000 0.000 0.000 1
Zr1 0.500 0.500 0.500 1
V1 0.000 0.500 0.000 1
V2 0.000 0.000 0.500 1
V3 0.500 0.000 0.000 1
```

raw formation energy = -0.10 eV/atom
total magnetization = 0.11 μB/atom
SG = Pm-3m

Material: Zr2VS6
Method: DFT, GGA-PBE
State: optimized geometry

The structure in CIF format:
```
data_Zr2VS6
_chemical_formula_sum 'Zr4 V2 S12'
_cell_length_a 5.963
_cell_length_b 6.472
_cell_length_c 8.886
_cell_angle_alpha 90.00
_cell_angle_beta 92.09
_cell_angle_gamma 90.00
_symmetry_space_group_name_H-M 'P 1'
_symmetry_Int_Tables_number 1
loop_
_symmetry_equiv_pos_as_xyz
'x,y,z'
loop_
_atom_site_label
_atom_site_fract_x
_atom_site_fract_y
_atom_site_fract_z
_atom_site_occupancy
Zr1 0.943 0.377 0.763 1
Zr2 0.557 0.877 0.737 1
Zr3 0.443 0.123 0.263 1
Zr4 0.057 0.623 0.237 1
V1 0.500 0.500 0.000 1
V2 0.000 0.000 0.500 1
S1 0.837 0.958 0.256 1
S2 0.837 0.678 0.574 1
S3 0.828 0.683 0.935 1
S4 0.672 0.183 0.565 1
S5 0.663 0.178 0.926 1
S6 0.663 0.458 0.244 1
S7 0.163 0.042 0.744 1
S8 0.163 0.322 0.426 1
S9 0.172 0.317 0.065 1
S10 0.328 0.817 0.435 1
S11 0.337 0.822 0.074 1
S12 0.337 0.542 0.756 1
```

raw formation energy = -1.16 eV/atom
total magnetization = 0.11 μB/atom
SG = P2_1/c